[1]
BiSbOs2 | PBE | optimized geometry

Cell and atoms, written as POSCAR:
```
BiSbOs2
1.0
6.0499 0.0000 0.0000
0.0000 6.0499 0.0000
3.0249 3.0249 5.9706
Os Sb Bi
4 2 2
Direct
0.6113 0.1250 0.2500 Os
0.1387 0.6250 0.2500 Os
0.8750 0.8613 0.7500 Os
0.3750 0.3887 0.7500 Os
0.5000 0.5000 0.0000 Sb
0.2500 0.7500 0.5000 Sb
0.0000 0.0000 0.0000 Bi
0.7500 0.2500 0.5000 Bi
```

For the energy above the most stable polymorph in this dataset, the calculation gives 120 kJ/mol of formula units.

=====

[2]
BiSb3Os | PBE | optimized geometry

Cell and atoms, written as POSCAR:
```
BiSb3Os
1.0
5.2017 0.0000 0.0000
0.0000 5.2017 0.0000
0.0000 0.0000 5.2017
Os Bi Sb
1 1 3
Direct
0.0000 0.0000 0.0000 Os
0.5000 0.5000 0.5000 Bi
0.5000 0.0000 0.0000 Sb
0.0000 0.5000 0.0000 Sb
0.0000 0.0000 0.5000 Sb
```

For the energy above the most stable polymorph in this dataset, the calculation gives 0 kJ/mol of formula units.

=====

[3]
Bi2SbOs | PBE | optimized geometry

Cell and atoms, written as POSCAR:
```
Bi2SbOs
1.0
6.6075 0.0000 0.0000
0.0000 6.6075 0.0000
3.3038 3.3038 6.4478
Os Sb Bi
2 2 4
Direct
0.0000 0.0000 0.0000 Os
0.7500 0.2500 0.5000 Os
0.2500 0.7500 0.5000 Sb
0.5000 0.5000 0.0000 Sb
0.3750 0.3192 0.7500 Bi
0.8750 0.9308 0.7500 Bi
0.6808 0.1250 0.2500 Bi
0.0692 0.6250 0.2500 Bi
```

=====

[4]
BiSb2TeOs | PBE | optimized geometry

Cell and atoms, written as POSCAR:
```
BiSb2TeOs
1.0
-1.8167 3.8368 -2.7251
2.2981 -1.8258 -4.1027
-4.6625 -3.0869 -1.2380
Te Os Sb Bi
1 1 2 1
Direct
0.0000 0.0000 0.5000 Te
0.0000 0.0000 0.0000 Os
0.0000 0.5000 0.0000 Sb
0.5000 0.0000 0.0000 Sb
0.5000 0.5000 0.5000 Bi
```

For the energy above the most stable polymorph in this dataset, the calculation gives 0 kJ/mol of formula units.

=====

[5]
BiSbTe2Os | PBE | optimized geometry

Cell and atoms, written as POSCAR:
```
BiSbTe2Os
1.0
-0.5280 -4.4597 2.8827
-2.8514 -2.2057 -3.9348
4.2660 -1.8375 -2.0614
Te Os Sb Bi
2 1 1 1
Direct
0.5000 0.0000 0.0000 Te
0.0000 0.5000 0.0000 Te
0.0000 0.0000 0.0000 Os
0.0000 0.0000 0.5000 Sb
0.5000 0.5000 0.5000 Bi
```

For the energy above the most stable polymorph in this dataset, the calculation gives 0 kJ/mol of formula units.

=====

[6]
BiSbTe2Os | PBE | optimized geometry

Cell and atoms, written as POSCAR:
```
BiSbTe2Os
1.0
5.8447 0.0000 0.0000
0.0000 5.8447 0.0000
0.0000 0.0000 5.8034
Bi Te Os Sb
1 2 1 1
Direct
0.0000 0.0000 0.0000 Bi
0.0000 0.5000 0.0000 Te
0.5000 0.0000 0.0000 Te
0.5000 0.5000 0.5000 Os
0.0000 0.0000 0.5000 Sb
```

For the energy above the most stable polymorph in this dataset, the calculation gives 648 kJ/mol of formula units.

=====

[7]
BiSb2TeOs | PBE | optimized geometry

Cell and atoms, written as POSCAR:
```
BiSb2TeOs
1.0
5.7566 0.0000 0.0000
0.0000 5.7566 0.0000
0.0000 0.0000 5.8044
Te Bi Sb Os
1 1 2 1
Direct
0.0000 0.0000 0.5000 Te
0.0000 0.0000 0.0000 Bi
0.5000 0.0000 0.0000 Sb
0.0000 0.5000 0.0000 Sb
0.5000 0.5000 0.5000 Os
```

For the energy above the most stable polymorph in this dataset, the calculation gives 720 kJ/mol of formula units.

=====

[8]
TlBiSb2Os | PBE | optimized geometry

Cell and atoms, written as POSCAR:
```
TlBiSb2Os
1.0
5.5309 0.0000 0.0000
0.0000 5.7440 0.0000
0.0000 0.0000 5.5309
Os Sb Tl Bi
1 2 1 1
Direct
0.5000 0.5000 0.5000 Os
0.0000 0.0000 0.5000 Sb
0.5000 0.0000 0.0000 Sb
0.0000 0.0000 0.0000 Tl
0.0000 0.5000 0.0000 Bi
```

=====

Number 1: DOS(E_F) 0.696 states/eV per atom, E_tot -51.28 eV for the cell shown, formation energy from raw total energies 4.82 eV/f.u.. Number 2: DOS(E_F) 0.980 states/eV per atom, E_tot -24.73 eV for the cell shown, formation energy from raw total energies 2.74 eV/f.u.. Number 3: DOS(E_F) 1.088 states/eV per atom, E_tot -39.73 eV for the cell shown, formation energy from raw total energies 3.25 eV/f.u.. Number 4: DOS(E_F) 0.706 states/eV per atom, E_tot -23.77 eV for the cell shown, formation energy from raw total energies 2.73 eV/f.u.. Number 5: DOS(E_F) 1.238 states/eV per atom, E_tot -22.58 eV for the cell shown, formation energy from raw total energies 2.94 eV/f.u.. Number 6: DOS(E_F) 1.398 states/eV per atom, E_tot -15.86 eV for the cell shown, formation energy from raw total energies 9.66 eV/f.u.. Number 7: DOS(E_F) 1.441 states/eV per atom, E_tot -16.31 eV for the cell shown, formation energy from raw total energies 10.18 eV/f.u.. Number 8: DOS(E_F) 1.304 states/eV per atom, E_tot -15.51 eV for the cell shown, formation energy from raw total energies 10.21 eV/f.u..